(1)
Dy2HoErSc: optimized geometry, PBE-GGA.

POSCAR file:
```
Dy2HoErSc
1.0
4.062 -5.572 0.000
4.062 5.572 0.000
0.000 0.000 7.049
Dy Ho Er Sc
4 2 2 2
Cartesian
1.605 0.000 0.000 Dy
1.605 0.000 3.525 Dy
6.519 0.000 0.000 Dy
6.519 0.000 3.525 Dy
4.062 2.995 5.287 Ho
4.062 -2.995 1.762 Ho
4.062 3.007 1.762 Er
4.062 -3.007 5.287 Er
4.062 0.004 1.762 Sc
4.062 -0.004 5.287 Sc
```

Formation energy from the elements (eV/atom): 0.3649
SG: Cmcm

---

(2)
Nd3SbAu: optimized geometry, PBE-GGA.

POSCAR file:
```
Nd3SbAu
1.0
9.227 0.000 0.000
0.000 4.185 0.000
-4.239 0.000 8.730
Nd Sb Au
6 2 2
Cartesian
-0.935 1.046 2.985 Nd
1.541 1.046 0.158 Nd
1.313 3.138 5.454 Nd
3.675 1.046 3.275 Nd
3.447 3.138 8.572 Nd
5.923 3.138 5.745 Nd
-0.947 1.046 6.202 Sb
5.935 3.138 2.528 Sb
1.380 3.138 2.383 Au
3.608 1.046 6.347 Au
```

Formation energy from raw total energies (meV/atom): -641.6
SG: P2_1/m

---

(3)
YLuTe3: optimized geometry, PBE-GGA.

POSCAR file:
```
YLuTe3
1.0
5.726 0.000 0.000
0.000 8.189 0.000
-2.864 0.000 7.004
Y Lu Te
2 2 6
Cartesian
0.005 2.047 2.548 Y
2.858 6.142 4.455 Y
0.003 2.047 6.825 Lu
2.860 6.142 0.179 Lu
-0.003 6.142 0.458 Te
-0.001 4.314 4.776 Te
-0.001 7.969 4.776 Te
2.863 0.220 2.228 Te
2.863 3.874 2.228 Te
2.866 2.047 6.545 Te
```

Formation energy from raw total energies (meV/atom): -1211.6
Offset from the most stable computed form (meV/atom): 179
SG: P2_1/m